The following is a PBE with a Hubbard U calculation of a relaxed Sr4NbCoO8 crystal, from the Alexandria database.

Lattice parameters (Å, degrees): 6.873 6.873 5.657 90.00 90.00 131.27
Last column: magnetic moment on the atom in μB.
Sites, in units of the cell vectors:
Sr  0.646  0.354  0.000  0.00
Sr  0.141  0.859  0.500  0.00
Sr  0.859  0.141  0.500  0.00
Sr  0.354  0.646  0.000  0.00
Nb  0.500  0.500  0.500  0.03
Co  0.000  0.000  0.000  2.02
O  0.844  0.156  0.000  -0.05
O  0.336  0.664  0.500  0.00
O  0.664  0.336  0.500  0.00
O  0.156  0.844  0.000  -0.05
O  0.748  0.748  0.748  0.01
O  0.252  0.252  0.252  0.01
O  0.252  0.252  0.748  0.01
O  0.748  0.748  0.252  0.01

Values from the calculation:
* V: 14.35 A^3/atom
* symmetry: Cmmm (65)

The following is a PBE with a Hubbard U calculation of a relaxed SrNbCoO5 crystal, from the Alexandria database.

Lattice parameters (Å, degrees): 5.831 5.831 7.585 103.10 103.10 108.12
Last column: magnetic moment on the atom in μB.
Sites, in units of the cell vectors:
Sr  0.329  0.671  0.250  0.00
Sr  0.671  0.329  0.750  0.00
Nb  0.000  0.000  0.500  0.08
Nb  0.000  0.000  0.000  0.08
Co  0.681  0.319  0.250  3.00
Co  0.319  0.681  0.750  3.00
O  0.063  0.937  0.250  0.04
O  0.937  0.063  0.750  0.04
O  0.890  0.289  0.098  0.16
O  0.110  0.711  0.902  0.16
O  0.711  0.110  0.402  0.16
O  0.289  0.890  0.598  0.16
O  0.745  0.637  0.415  0.20
O  0.255  0.363  0.585  0.20
O  0.363  0.255  0.085  0.20
O  0.637  0.745  0.915  0.20

Values from the calculation:
* V: 14.13 A^3/atom
* symmetry: C2/c (15)

The following is a PBE with a Hubbard U calculation of a relaxed Sr2NbCoO6 crystal, from the Alexandria database.

Lattice parameters (Å, degrees): 5.560 5.560 5.560 60.00 60.00 60.00
Sites, in units of the cell vectors:
Sr  0.750  0.750  0.750
Sr  0.250  0.250  0.250
Nb  0.500  0.500  0.500
Co  0.000  0.000  0.000
O  0.245  0.755  0.755
O  0.755  0.245  0.755
O  0.245  0.755  0.245
O  0.755  0.755  0.245
O  0.755  0.245  0.245
O  0.245  0.245  0.755

Values from the calculation:
* V: 12.16 A^3/atom
* symmetry: Fm-3m (225)

The following is a PBE with a Hubbard U calculation of a relaxed Sr2NbCoO6 crystal, from the Alexandria database.

Lattice parameters (Å, degrees): 5.601 9.734 9.686 80.27 89.96 72.75
Last column: magnetic moment on the atom in μB.
Sites, in units of the cell vectors:
Sr  0.501  0.003  0.501  0.00
Sr  0.246  0.498  0.752  0.00
Sr  0.000  0.000  0.999  0.00
Sr  0.749  0.502  0.249  0.00
Sr  0.874  0.249  0.627  0.00
Sr  0.629  0.751  0.876  0.00
Sr  0.376  0.249  0.124  0.00
Sr  0.125  0.750  0.372  0.00
Nb  0.309  0.377  0.438  -0.04
Nb  0.068  0.873  0.690  -0.02
Nb  0.811  0.376  0.937  -0.02
Nb  0.562  0.873  0.184  -0.04
Co  0.684  0.626  0.561  -1.89
Co  0.438  0.125  0.812  -0.02
Co  0.189  0.623  0.063  -0.03
Co  0.938  0.125  0.313  -3.08
O  0.458  0.512  0.517  -0.05
O  0.237  0.007  0.762  0.00
O  0.985  0.503  0.013  -0.01
O  0.718  0.004  0.263  -0.07
O  0.155  0.244  0.361  -0.08
O  0.910  0.746  0.611  -0.04
O  0.640  0.246  0.863  -0.01
O  0.396  0.739  0.109  0.00
O  0.994  0.014  0.502  -0.14
O  0.743  0.514  0.755  -0.03
O  0.495  0.011  0.999  0.00
O  0.238  0.514  0.253  -0.01
O  0.378  0.240  0.624  0.00
O  0.137  0.736  0.873  0.00
O  0.880  0.236  0.124  -0.14
O  0.635  0.736  0.369  -0.04
O  0.638  0.272  0.376  -0.06
O  0.401  0.770  0.621  0.04
O  0.139  0.260  0.872  0.00
O  0.894  0.761  0.117  0.00
O  0.968  0.484  0.504  0.06
O  0.739  0.990  0.754  0.00
O  0.486  0.484  0.007  0.00
O  0.233  0.979  0.248  -0.08

Values from the calculation:
* V: 12.41 A^3/atom
* symmetry: P1 (1)

The following is a PBE with a Hubbard U calculation of a relaxed SrNb2CoO8 crystal, from the Alexandria database.

Lattice parameters (Å, degrees): 5.326 5.288 7.145 89.61 90.66 65.70
Last column: magnetic moment on the atom in μB.
Sites, in units of the cell vectors:
Sr  0.000  0.000  0.500  0.00
Nb  0.363  0.356  0.807  0.01
Nb  0.637  0.644  0.193  0.01
Co  0.000  0.000  0.000  1.04
O  0.237  0.786  0.193  0.01
O  0.791  0.794  0.014  -0.01
O  0.774  0.247  0.186  -0.02
O  0.763  0.214  0.807  0.01
O  0.209  0.206  0.986  -0.01
O  0.226  0.753  0.814  -0.02
O  0.719  0.716  0.427  0.00
O  0.281  0.284  0.573  0.00

Values from the calculation:
* V: 15.28 A^3/atom
* symmetry: P-1 (2)

The following is a PBE with a Hubbard U calculation of a relaxed NbCoTeO6 crystal, from the Alexandria database.

Lattice parameters (Å, degrees): 5.338 5.338 9.001 90.00 90.00 120.00
Last column: magnetic moment on the atom in μB.
Sites, in units of the cell vectors:
Nb  0.333  0.667  0.250  -0.05
Nb  0.667  0.333  0.750  -0.05
Co  0.000  0.000  0.000  2.75
Co  0.000  0.000  0.500  2.75
Te  0.667  0.333  0.250  -0.05
Te  0.333  0.667  0.750  -0.05
O  0.650  0.654  0.131  0.00
O  0.003  0.350  0.131  0.00
O  0.350  0.003  0.631  0.00
O  0.997  0.650  0.869  0.00
O  0.346  0.350  0.369  0.00
O  0.003  0.654  0.369  0.00
O  0.654  0.003  0.869  0.00
O  0.650  0.997  0.369  0.00
O  0.997  0.346  0.631  0.00
O  0.346  0.997  0.131  0.00
O  0.654  0.650  0.631  0.00
O  0.350  0.346  0.869  0.00

Values from the calculation:
* V: 12.34 A^3/atom
* symmetry: P-31c (163)

The following is a PBE with a Hubbard U calculation of a relaxed TiNbCoO6 crystal, from the Alexandria database.

Lattice parameters (Å, degrees): 4.640 4.640 8.946 90.00 90.00 90.00
Sites, in units of the cell vectors:
Ti  0.500  0.500  0.172
Ti  0.000  0.000  0.672
Nb  0.500  0.500  0.835
Nb  0.000  0.000  0.335
Co  0.500  0.500  0.500
Co  0.000  0.000  0.000
O  0.202  0.798  0.500
O  0.798  0.202  0.500
O  0.298  0.298  0.000
O  0.702  0.702  0.000
O  0.196  0.804  0.162
O  0.804  0.196  0.162
O  0.304  0.304  0.662
O  0.696  0.696  0.662
O  0.810  0.190  0.835
O  0.190  0.810  0.835
O  0.690  0.690  0.335
O  0.310  0.310  0.335

Values from the calculation:
* V: 10.70 A^3/atom
* symmetry: P4_2nm (102)

The following is a PBE with a Hubbard U calculation of a relaxed NbTl3Co2O6 crystal, from the Alexandria database.

Lattice parameters (Å, degrees): 5.567 5.567 6.731 97.71 97.71 120.16
Last column: magnetic moment on the atom in μB.
Sites, in units of the cell vectors:
Nb  0.000  0.000  0.000  0.04
Tl  0.169  0.831  0.500  0.01
Tl  0.831  0.169  0.500  0.01
Tl  0.500  0.500  0.500  0.01
Co  0.333  0.667  0.000  2.69
Co  0.667  0.333  0.000  2.69
O  0.944  0.631  0.836  0.06
O  0.743  0.743  0.170  0.06
O  0.056  0.369  0.164  0.06
O  0.631  0.944  0.836  0.06
O  0.257  0.257  0.830  0.06
O  0.369  0.056  0.164  0.06

Values from the calculation:
* V: 14.48 A^3/atom
* symmetry: C2/m (12)

The following is a PBE with a Hubbard U calculation of a relaxed NbVCoO6 crystal, from the Alexandria database.

Lattice parameters (Å, degrees): 4.602 4.602 8.950 90.00 90.00 90.00
Last column: magnetic moment on the atom in μB.
Sites, in units of the cell vectors:
Nb  0.500  0.500  0.838  0.02
Nb  0.000  0.000  0.338  0.02
V  0.500  0.500  0.170  1.01
V  0.000  0.000  0.670  1.01
Co  0.500  0.500  0.501  0.07
Co  0.000  0.000  0.001  0.07
O  0.205  0.795  0.498  -0.02
O  0.795  0.205  0.498  -0.02
O  0.295  0.295  0.998  -0.02
O  0.705  0.705  0.998  -0.02
O  0.202  0.798  0.162  -0.03
O  0.798  0.202  0.162  -0.03
O  0.298  0.298  0.662  -0.03
O  0.702  0.702  0.662  -0.03
O  0.812  0.188  0.835  -0.03
O  0.188  0.812  0.835  -0.03
O  0.688  0.688  0.335  -0.03
O  0.312  0.312  0.335  -0.03

Values from the calculation:
* V: 10.53 A^3/atom
* symmetry: P4_2nm (102)

The following is a PBE with a Hubbard U calculation of a relaxed YNbCoO2 crystal, from the Alexandria database.

Lattice parameters (Å, degrees): 4.022 4.684 4.022 90.00 90.00 90.00
Sites, in units of the cell vectors:
Y  0.500  0.500  0.500
Nb  0.000  0.000  0.000
Co  0.000  0.500  0.000
O  0.000  0.000  0.500
O  0.500  0.000  0.000

Values from the calculation:
* V: 15.16 A^3/atom
* symmetry: P4/mmm (123)

The following is a PBE with a Hubbard U calculation of a relaxed ZrNbCoO6 crystal, from the Alexandria database.

Lattice parameters (Å, degrees): 4.822 4.822 9.245 90.00 90.00 90.00
Last column: magnetic moment on the atom in μB.
Sites, in units of the cell vectors:
Zr  0.500  0.500  0.172  0.02
Zr  0.000  0.000  0.672  0.02
Nb  0.500  0.500  0.838  0.04
Nb  0.000  0.000  0.338  0.04
Co  0.500  0.500  0.501  1.96
Co  0.000  0.000  0.001  1.96
O  0.195  0.805  0.491  0.04
O  0.805  0.195  0.491  0.04
O  0.305  0.305  0.991  0.04
O  0.695  0.695  0.991  0.04
O  0.186  0.814  0.161  -0.04
O  0.814  0.186  0.161  -0.04
O  0.314  0.314  0.661  -0.04
O  0.686  0.686  0.661  -0.04
O  0.802  0.198  0.843  -0.03
O  0.198  0.802  0.843  -0.03
O  0.698  0.698  0.343  -0.03
O  0.302  0.302  0.343  -0.03

Values from the calculation:
* V: 11.94 A^3/atom
* symmetry: P4_2nm (102)

Number 1: total DFT energy (no corrections) -6.90 eV/atom. Number 2: total DFT energy (no corrections) -7.43 eV/atom. Number 3: total DFT energy (no corrections) -7.22 eV/atom. Number 4: total DFT energy (no corrections) -7.22 eV/atom. Number 5: total DFT energy (no corrections) -7.66 eV/atom. Number 6: total DFT energy (no corrections) -6.79 eV/atom. Number 7: total DFT energy (no corrections) -8.05 eV/atom. Number 8: total DFT energy (no corrections) -5.97 eV/atom. Number 9: total DFT energy (no corrections) -7.68 eV/atom. Number 10: total DFT energy (no corrections) -7.46 eV/atom. Number 11: total DFT energy (no corrections) -8.21 eV/atom.